Record 1
Computed, not measured: an optimized crystal structure of TlFe2Pt at the PBE-GGA level of DFT.

Summary:
ΔH_f (0 K): 0.2988 eV per atom
DOS(E_F): 3.2 states/eV/cell
Offset from the most stable computed form: 0.110 eV per atom
Density: 12.9 g/cm³
V: 66 Å³/f.u.

Cell lengths 4.794, 4.794, 5.042 Å; angles 78.65, 78.65, 35.39 degrees
Last column: magnetic moment on the atom in μB.
Sites, in units of the cell vectors:
Tl  0.250  0.250  0.250  -0.08
Pt  0.750  0.750  0.750  0.11
Fe  0.006  0.006  0.941  2.67
Fe  0.494  0.494  0.559  2.67



Record 2
Computed, not measured: an optimized crystal structure of CaEuYCd at the PBE-GGA level of DFT.

Summary:
ΔH_f (0 K): -0.0226 eV per atom
DOS(E_F): 5.1 states/eV/cell
Density: 5.1 g/cm³
V: 128 Å³/f.u.

Cell lengths 5.656, 5.656, 5.656 Å; angles 60.00, 60.00, 60.00 degrees
Last column: magnetic moment on the atom in μB.
Sites, in units of the cell vectors:
Ca  0.250  0.250  0.250  0.07
Cd  0.750  0.750  0.750  0.00
Y  0.000  0.000  0.000  0.15
Eu  0.500  0.500  0.500  6.92



Record 3
Computed, not measured: an optimized crystal structure of NaSn2P at the PBE-GGA level of DFT.

Summary:
ΔH_f (0 K): -0.0671 eV per atom
DOS(E_F): 3.1 states/eV/cell
Density: 4.6 g/cm³
V: 104 Å³/f.u.

Cell lengths 8.126, 8.126, 6.557 Å; angles 51.71, 51.71, 90.00 degrees
Sites, in units of the cell vectors:
P  0.000  0.000  0.000
Na  0.500  0.500  0.000
Sn  0.875  0.928  0.750
Na  0.250  0.750  0.500
P  0.750  0.250  0.500
Sn  0.678  0.125  0.250
Sn  0.375  0.322  0.750
Sn  0.072  0.625  0.250



Repeat the third record exactly.
Computed, not measured: an optimized crystal structure of NaSn2P at the PBE-GGA level of DFT.

Summary:
ΔH_f (0 K): -0.0671 eV per atom
DOS(E_F): 3.1 states/eV/cell
Density: 4.6 g/cm³
V: 104 Å³/f.u.

Cell lengths 8.126, 8.126, 6.557 Å; angles 51.71, 51.71, 90.00 degrees
Sites, in units of the cell vectors:
P  0.000  0.000  0.000
Na  0.500  0.500  0.000
Sn  0.875  0.928  0.750
Na  0.250  0.750  0.500
P  0.750  0.250  0.500
Sn  0.678  0.125  0.250
Sn  0.375  0.322  0.750
Sn  0.072  0.625  0.250